No. 1
Entry from Alexandria via LeMat-Bulk: SnBiPd after structural relaxation (PBE).

Properties
**Relative energy among the computed polymorphs**: 0.029 eV per atom
**Energy of formation from the pure elements**: -0.2441 eV/atom
**Magnetization**: 0.000 μB per cell

Unit cell a=4.7182 b=4.7203 c=7.6997 alpha=71.65 beta=71.66 gamma=90.11
Fractional positions:
Sn 0.1556 0.5933 0.6084
Sn 0.6529 0.0957 0.6086
Bi 0.4041 0.8444 0.1085
Bi 0.9042 0.3439 0.1085
Pd 0.2603 0.2007 0.3975
Pd 0.5482 0.4885 0.8195


No. 2
Entry from Alexandria via LeMat-Bulk: KMgS2Cl after structural relaxation (PBE).

Properties
**Uncorrected formation energy**: 0.37 eV/atom
**Relative energy among the computed polymorphs**: 1.196 eV per atom
**Magnetization**: 2.032 μB per cell

Unit cell a=5.5212 b=5.5212 c=5.4386 alpha=90.00 beta=90.00 gamma=90.00
Fractional positions:
Mg 0.5000 0.5000 0.5000
K 0.0000 0.0000 0.0000
S 0.0000 0.5000 0.0000
S 0.5000 0.0000 0.0000
Cl 0.0000 0.0000 0.5000


No. 3
Entry from Alexandria via LeMat-Bulk: CoMo2Pt after structural relaxation (PBE).

Properties
**Relative energy among the computed polymorphs**: 0.596 eV per atom
**Energy of formation from the pure elements**: 0.4572 eV/atom
**Magnetization**: 1.773 μB per cell

Unit cell a=3.7220 b=3.7220 c=9.4333 alpha=78.62 beta=78.62 gamma=90.00
Fractional positions:
Mo 0.6016 0.1250 0.2500
Mo 0.1484 0.6250 0.2500
Mo 0.3750 0.3984 0.7500
Mo 0.8750 0.8516 0.7500
Co 0.5000 0.5000 0.0000
Co 0.2500 0.7500 0.5000
Pt 0.0000 0.0000 0.0000
Pt 0.7500 0.2500 0.5000


No. 4
Entry from Alexandria via LeMat-Bulk: Ac12YPb7 after structural relaxation (PBE).

Properties
**Energy of formation from the pure elements**: -0.3042 eV/atom
**Magnetization**: 0.000 μB per cell

Unit cell a=10.0677 b=10.0677 c=10.0677 alpha=109.71 beta=109.71 gamma=109.71
Fractional positions:
Ac 0.0894 0.3685 0.8976
Ac 0.6315 0.1024 0.9106
Ac 0.6476 0.2302 0.5797
Ac 0.7698 0.4203 0.3524
Ac 0.1024 0.9106 0.6315
Ac 0.4203 0.3524 0.7698
Ac 0.5797 0.6476 0.2302
Ac 0.8976 0.0894 0.3685
Ac 0.2302 0.5797 0.6476
Ac 0.3524 0.7698 0.4203
Ac 0.3685 0.8976 0.0894
Ac 0.9106 0.6315 0.1024
Y 0.0000 0.0000 0.0000
Pb 0.9593 0.6440 0.7789
Pb 0.3560 0.2211 0.0407
Pb 0.2211 0.0407 0.3560
Pb 0.5000 0.5000 0.5000
Pb 0.7789 0.9593 0.6440
Pb 0.6440 0.7789 0.9593
Pb 0.0407 0.3560 0.2211


No. 5
Entry from Alexandria via LeMat-Bulk: Pu3Tl4 after structural relaxation (PBE).

Properties
**Energy of formation from the pure elements**: 0.0992 eV/atom
**Magnetization**: 18.096 μB per cell

Unit cell a=6.0946 b=6.0946 c=6.0752 alpha=90.00 beta=90.00 gamma=120.00
Fractional positions:
Pu 0.0000 0.5000 0.0000
Pu 0.5000 0.0000 0.0000
Pu 0.5000 0.5000 0.0000
Tl 0.0000 0.0000 0.7400
Tl 0.0000 0.0000 0.2600
Tl 0.3333 0.6667 0.5000
Tl 0.6667 0.3333 0.5000


No. 6
Entry from Alexandria via LeMat-Bulk: TaNi2W2 after structural relaxation (PBE).

Properties
**Energy of formation from the pure elements**: 0.1036 eV/atom
**Magnetization**: 0.000 μB per cell

Unit cell a=7.3528 b=7.3528 c=2.6891 alpha=90.00 beta=90.00 gamma=90.00
Fractional positions:
Ni 0.3818 0.8818 0.0000
Ni 0.8818 0.6182 0.0000
Ni 0.6182 0.1182 0.0000
Ni 0.1182 0.3818 0.0000
W 0.1762 0.6762 0.5000
W 0.6762 0.8238 0.5000
W 0.8238 0.3238 0.5000
W 0.3238 0.1762 0.5000
Ta 0.0000 0.0000 0.0000
Ta 0.5000 0.5000 0.0000


No. 7
Entry from Alexandria via LeMat-Bulk: Na3OsPd after structural relaxation (PBE).

Properties
**Relative energy among the computed polymorphs**: 0.218 eV per atom
**Energy of formation from the pure elements**: 1.5469 eV/atom
**Magnetization**: 2.451 μB per cell

Unit cell a=5.4616 b=5.4616 c=5.4616 alpha=90.00 beta=90.00 gamma=90.00
Fractional positions:
Na 0.0000 0.5000 0.0000
Na 0.0000 0.0000 0.5000
Na 0.5000 0.0000 0.0000
Os 0.0000 0.0000 0.0000
Pd 0.5000 0.5000 0.5000


No. 8
Entry from Alexandria via LeMat-Bulk: Sr3Al3Cu2 after structural relaxation (PBE).

Properties
**Energy of formation from the pure elements**: -0.1324 eV/atom
**Magnetization**: 0.000 μB per cell

Unit cell a=6.0585 b=8.4358 c=15.9538 alpha=90.00 beta=90.00 gamma=90.00
Fractional positions:
Sr 0.1153 0.4601 0.3917
Sr 0.6153 0.0399 0.6083
Sr 0.8847 0.5399 0.8917
Sr 0.3847 0.9601 0.1083
Sr 0.8847 0.5399 0.6083
Sr 0.3847 0.9601 0.3917
Sr 0.1153 0.4601 0.1083
Sr 0.6153 0.0399 0.8917
Sr 0.6035 0.3088 0.2500
Sr 0.1035 0.1912 0.7500
Sr 0.3965 0.6912 0.7500
Sr 0.8965 0.8088 0.2500
Al 0.0810 0.1590 0.2500
Al 0.5810 0.3410 0.7500
Al 0.9190 0.8410 0.7500
Al 0.4190 0.6590 0.2500
Al 0.6126 0.3286 0.4639
Al 0.1126 0.1714 0.5361
Al 0.3874 0.6714 0.9639
Al 0.8874 0.8286 0.0361
Al 0.3874 0.6714 0.5361
Al 0.8874 0.8286 0.4639
Al 0.6126 0.3286 0.0361
Al 0.1126 0.1714 0.9639
Cu 0.8843 0.1141 0.4005
Cu 0.3843 0.3859 0.5995
Cu 0.1157 0.8859 0.9005
Cu 0.6157 0.6141 0.0995
Cu 0.1157 0.8859 0.5995
Cu 0.6157 0.6141 0.4005
Cu 0.8843 0.1141 0.0995
Cu 0.3843 0.3859 0.9005


No. 9
Entry from Alexandria via LeMat-Bulk: TbPr2C2Br2 after structural relaxation (PBE).

Properties
**Uncorrected formation energy**: -0.63 eV/atom
**Magnetization**: 0.000 μB per cell

Unit cell a=4.5837 b=4.5837 c=8.4946 alpha=105.65 beta=105.65 gamma=90.00
Fractional positions:
Tb 0.0000 0.0000 0.0000
Pr 0.3992 0.3992 0.7984
Pr 0.6008 0.6008 0.2016
C 0.0000 0.5000 0.0000
C 0.5000 0.0000 0.0000
Br 0.1904 0.1904 0.3809
Br 0.8096 0.8096 0.6191


No. 10
Entry from Alexandria via LeMat-Bulk: Pm2Al2ZnNi5 after structural relaxation (PBE).

Properties
**Energy of formation from the pure elements**: -0.2587 eV/atom
**Magnetization**: 0.000 μB per cell

Unit cell a=3.0606 b=10.1552 c=10.1552 alpha=90.00 beta=90.00 gamma=90.00
Fractional positions:
Pm 0.0000 0.6743 0.1743
Pm 0.0000 0.3257 0.8257
Pm 0.0000 0.1743 0.3257
Pm 0.0000 0.8257 0.6743
Al 0.0000 0.1267 0.6267
Al 0.0000 0.8733 0.3733
Al 0.0000 0.6267 0.8733
Al 0.0000 0.3733 0.1267
Zn 0.0000 0.0000 0.0000
Zn 0.0000 0.5000 0.5000
Ni 0.5000 0.1946 0.0538
Ni 0.5000 0.8054 0.9462
Ni 0.5000 0.0538 0.8054
Ni 0.5000 0.6946 0.4462
Ni 0.5000 0.9462 0.1946
Ni 0.5000 0.3054 0.5538
Ni 0.5000 0.5538 0.6946
Ni 0.5000 0.4462 0.3054
Ni 0.5000 0.5000 0.0000
Ni 0.5000 0.0000 0.5000


No. 11
Entry from Alexandria via LeMat-Bulk: Nd3Dy6ErTh2 after structural relaxation (PBE).

Properties
**Energy of formation from the pure elements**: 0.0184 eV/atom
**Magnetization**: 0.000 μB per cell

Unit cell a=6.2052 b=6.2052 c=11.8203 alpha=95.03 beta=95.03 gamma=119.97
Fractional positions:
Nd 0.1665 0.8335 0.5000
Nd 0.8335 0.1665 0.5000
Nd 0.5000 0.5000 0.5000
Dy 0.9185 0.5817 0.7555
Dy 0.7445 0.7445 0.2449
Dy 0.0815 0.4183 0.2445
Dy 0.5817 0.9185 0.7555
Dy 0.2555 0.2555 0.7551
Dy 0.4183 0.0815 0.2445
Er 0.0000 0.0000 0.0000
Th 0.3335 0.6665 0.0000
Th 0.6665 0.3335 0.0000


No. 12
Entry from Alexandria via LeMat-Bulk: Er3ZrCu4 after structural relaxation (PBE).

Properties
**Energy of formation from the pure elements**: -0.2216 eV/atom
**Magnetization**: 0.616 μB per cell

Unit cell a=3.3959 b=3.3959 c=13.5812 alpha=90.00 beta=90.00 gamma=90.00
Fractional positions:
Cu 0.0000 0.0000 0.8906
Cu 0.0000 0.0000 0.1094
Cu 0.0000 0.0000 0.3730
Cu 0.0000 0.0000 0.6270
Zr 0.5000 0.5000 0.0000
Er 0.5000 0.5000 0.2441
Er 0.5000 0.5000 0.5000
Er 0.5000 0.5000 0.7559


No. 13
Entry from Alexandria via LeMat-Bulk: Nd5SmSc3 after structural relaxation (PBE).

Properties
**Energy of formation from the pure elements**: 0.4262 eV/atom
**Magnetization**: 0.001 μB per cell

Unit cell a=9.4689 b=9.4689 c=11.3958 alpha=52.34 beta=52.34 gamma=74.50
Fractional positions:
Nd 0.8548 0.3490 0.5325
Nd 0.2525 0.7475 0.0000
Nd 0.8365 0.8365 0.9113
Nd 0.5059 0.5059 0.2236
Nd 0.4941 0.4941 0.7764
Nd 0.1635 0.1635 0.0887
Nd 0.3490 0.8548 0.5325
Nd 0.7475 0.2525 0.0000
Nd 0.1452 0.6510 0.4675
Nd 0.6510 0.1452 0.4675
Sm 0.1769 0.1769 0.5979
Sm 0.8231 0.8231 0.4021
Sc 0.6823 0.6823 0.8118
Sc 0.6592 0.6592 0.3285
Sc 0.0000 0.0000 0.0000
Sc 0.0000 0.0000 0.5000
Sc 0.3177 0.3177 0.1882
Sc 0.3408 0.3408 0.6715


No. 14
Entry from Alexandria via LeMat-Bulk: AlAg4Se after structural relaxation (PBE).

Properties
**Uncorrected formation energy**: 0.22 eV/atom
**Magnetization**: 0.000 μB per cell

Unit cell a=5.5370 b=5.5370 c=5.5370 alpha=60.00 beta=60.00 gamma=60.00
Fractional positions:
Al 0.7500 0.7500 0.7500
Ag 0.8737 0.3754 0.3754
Ag 0.3754 0.3754 0.8737
Ag 0.3754 0.8737 0.3754
Ag 0.3754 0.3754 0.3754
Se 0.0000 0.0000 0.0000


No. 15
Entry from Alexandria via LeMat-Bulk: La3SbS2 after structural relaxation (PBE).

Properties
**Uncorrected formation energy**: -1.23 eV/atom
**Relative energy among the computed polymorphs**: 0.590 eV per atom
**Magnetization**: 0.332 μB per cell

Unit cell a=6.4828 b=8.1113 c=8.1113 alpha=92.86 beta=90.00 gamma=90.00
Fractional positions:
La 0.7500 0.1144 0.8856
La 0.7500 0.2465 0.4302
La 0.2500 0.4302 0.2465
La 0.7500 0.5698 0.7535
La 0.2500 0.7535 0.5698
La 0.2500 0.8856 0.1144
Sb 0.2500 0.3546 0.6454
Sb 0.7500 0.6454 0.3546
S 0.0000 0.1625 0.1625
S 0.5000 0.1625 0.1625
S 0.0000 0.8375 0.8375
S 0.5000 0.8375 0.8375


No. 16
Entry from Alexandria via LeMat-Bulk: LiSb2Ru after structural relaxation (PBE).

Properties
**Uncorrected formation energy**: -0.15 eV/atom
**Relative energy among the computed polymorphs**: 0.039 eV per atom
**Magnetization**: 0.189 μB per cell

Unit cell a=8.6472 b=8.6472 c=8.6472 alpha=22.19 beta=22.19 gamma=22.19
Fractional positions:
Li 0.2500 0.2500 0.2500
Ru 0.7500 0.7500 0.7500
Sb 0.0073 0.0073 0.0073
Sb 0.4927 0.4927 0.4927


No. 17
Entry from Alexandria via LeMat-Bulk: Na2SiAu3 after structural relaxation (PBE).

Properties
**Uncorrected formation energy**: -0.31 eV/atom
**Relative energy among the computed polymorphs**: 0.000 eV per atom
**Magnetization**: 0.000 μB per cell

Unit cell a=5.2270 b=5.2270 c=5.2270 alpha=67.35 beta=67.35 gamma=67.35
Fractional positions:
Na 0.3770 0.3770 0.3770
Na 0.6230 0.6230 0.6230
Si 0.0000 0.0000 0.0000
Au 0.0000 0.0000 0.5000
Au 0.5000 0.0000 0.0000
Au 0.0000 0.5000 0.0000


No. 18
Entry from Alexandria via LeMat-Bulk: MnTlTe2 after structural relaxation (PBE).

Properties
**Uncorrected formation energy**: -0.04 eV/atom
**Magnetization**: 8.608 μB per cell

Unit cell a=12.1406 b=12.1406 c=5.9658 alpha=90.00 beta=90.00 gamma=164.14
Fractional positions:
Tl 0.3150 0.6850 0.2500
Tl 0.6850 0.3150 0.7500
Te 0.1711 0.8289 0.2500
Te 0.8289 0.1711 0.7500
Te 0.9484 0.0516 0.2500
Te 0.0516 0.9484 0.7500
Mn 0.0605 0.9395 0.2500
Mn 0.9395 0.0605 0.7500


No. 19
Entry from Alexandria via LeMat-Bulk: In12Sn6Sb after structural relaxation (PBE).

Properties
**Uncorrected formation energy**: 0.08 eV/atom
**Magnetization**: 0.000 μB per cell

Unit cell a=8.1452 b=8.1452 c=8.1452 alpha=90.27 beta=90.27 gamma=90.27
Fractional positions:
In 0.5563 0.2018 0.4714
In 0.2018 0.4714 0.5563
In 0.4714 0.5563 0.2018
In 0.4437 0.7982 0.5286
In 0.7982 0.5286 0.4437
In 0.5286 0.4437 0.7982
In 0.9486 0.8485 0.6232
In 0.3768 0.0514 0.1515
In 0.1515 0.3768 0.0514
In 0.0514 0.1515 0.3768
In 0.6232 0.9486 0.8485
In 0.8485 0.6232 0.9486
Sn 0.2810 0.1219 0.7446
Sn 0.8781 0.2554 0.7190
Sn 0.2554 0.7190 0.8781
Sn 0.7190 0.8781 0.2554
Sn 0.1219 0.7446 0.2810
Sn 0.7446 0.2810 0.1219
Sb 0.0000 0.0000 0.0000


No. 20
Entry from Alexandria via LeMat-Bulk: LaPu2NpP4 after structural relaxation (PBE).

Properties
**Energy of formation from the pure elements**: -1.1126 eV/atom
**Magnetization**: 3.308 μB per cell

Unit cell a=5.7361 b=5.7360 c=7.0290 alpha=114.09 beta=114.08 gamma=90.00
Fractional positions:
La 0.5000 0.5000 0.0000
Pu 0.2500 0.7500 0.5000
Pu 0.0000 0.0000 0.0000
Np 0.7500 0.2500 0.5000
P 0.9945 0.4945 0.9891
P 0.5055 0.0055 0.0109
P 0.7588 0.7588 0.5176
P 0.2412 0.2412 0.4824


No. 21
Entry from Alexandria via LeMat-Bulk: AcCeRuBr after structural relaxation (PBE).

Properties
**Uncorrected formation energy**: -0.84 eV/atom
**Magnetization**: 0.361 μB per cell

Unit cell a=4.1234 b=4.1223 c=8.5570 alpha=90.01 beta=105.30 gamma=119.97
Fractional positions:
Ac 0.5052 0.1507 0.6640
Ce 0.0627 0.9292 0.0546
Ru 0.3595 0.5776 0.9024
Br 0.9504 0.3733 0.3487


No. 22
Entry from Alexandria via LeMat-Bulk: Sr2MgIn6Rh after structural relaxation (PBE).

Properties
**Energy of formation from the pure elements**: -0.2602 eV/atom
**Magnetization**: 0.000 μB per cell

Unit cell a=7.5790 b=7.2440 c=7.2853 alpha=59.97 beta=60.73 gamma=89.78
Fractional positions:
Sr 0.4571 0.8206 0.3621
Sr 0.5429 0.1794 0.6379
Mg 0.5000 0.5000 0.0000
In 0.1407 0.6541 0.0043
In 0.8589 0.8540 0.8026
In 0.1427 0.3411 0.5138
In 0.8593 0.3459 0.9957
In 0.1411 0.1460 0.1974
In 0.8573 0.6589 0.4862
Rh 0.0000 0.0000 0.0000